1.
# Ga2BRhC, optimized geometry, DFT PBE
# energy of formation	1.344	eV/atom
data_Ga2BRhC
_chemical_formula_sum 'Ga2 B1 Rh1 C1'
_symmetry_space_group_name_H-M 'P 4/m m m'
_symmetry_Int_Tables_number 123
_symmetry_space_group_name_Hall '-P 4 2'
_cell_length_a 4.782
_cell_length_b 4.782
_cell_length_c 3.995
_cell_angle_alpha 90.00
_cell_angle_beta 90.00
_cell_angle_gamma 90.00
loop_
_atom_site_label
_atom_site_type_symbol
_atom_site_fract_x
_atom_site_fract_y
_atom_site_fract_z
Ga1 Ga 0.000 0.500 0.000
B1 B 0.000 0.000 0.500
Rh1 Rh 0.000 0.000 0.000
C1 C 0.500 0.500 0.500



2.
# GaBCSe2, optimized geometry, DFT PBE
# energy relative to the elements, uncorrected	1.56	eV/atom
data_GaBCSe2
_chemical_formula_sum 'Ga1 B1 C1 Se2'
_symmetry_space_group_name_H-M 'P 4/m m m'
_symmetry_Int_Tables_number 123
_symmetry_space_group_name_Hall '-P 4 2'
_cell_length_a 4.555
_cell_length_b 4.555
_cell_length_c 4.000
_cell_angle_alpha 90.00
_cell_angle_beta 90.00
_cell_angle_gamma 90.00
loop_
_atom_site_label
_atom_site_type_symbol
_atom_site_fract_x
_atom_site_fract_y
_atom_site_fract_z
Ga1 Ga 0.000 0.000 0.000
B1 B 0.500 0.500 0.000
C1 C 0.000 0.000 0.500
Se1 Se 0.000 0.500 0.500